Entry 1:
A plane-wave DFT calculation with PBEsol was carried out for crystalline Rb2CdPb2 at its relaxed geometry.

POSCAR file:
```
Rb2CdPb2
1.0
4.7781 0.0000 0.0000
0.0000 4.7781 0.0000
0.0000 0.0000 16.1901
Rb Cd Pb
4 2 4
Cartesian
0.0000 2.3891 4.0475 Rb
0.0000 2.3891 12.1426 Rb
2.3891 0.0000 4.0475 Rb
2.3891 0.0000 12.1426 Rb
0.0000 0.0000 0.0000 Cd
2.3891 2.3891 8.0951 Cd
0.0000 0.0000 6.7022 Pb
0.0000 0.0000 9.4879 Pb
2.3891 2.3891 1.3929 Pb
2.3891 2.3891 14.7973 Pb
```

Values from the calculation:
Final energy   -1.931 eV per atom
Total magnetization   0.000 μB per atom
Symmetry   I4/mmm
Calculated formation energy   0.32 eV/atom



Entry 2:
A plane-wave DFT calculation with PBEsol was carried out for crystalline AlTeCN2 at its relaxed geometry.

POSCAR file:
```
AlTeCN2
1.0
3.5070 0.0000 0.0000
0.0000 3.5070 0.0000
0.0000 0.0000 6.6259
Al Te C N
1 1 1 2
Cartesian
0.0000 0.0000 0.0000 Al
0.0000 0.0000 3.3129 Te
1.7535 1.7535 3.3129 C
0.0000 1.7535 0.0000 N
1.7535 0.0000 0.0000 N
```

Values from the calculation:
Final energy   -5.258 eV per atom
Total magnetization   0.061 μB per atom
Symmetry   P4/mmm
Formation energy (no corrections)   1.6046 eV/atom



Entry 3:
A plane-wave DFT calculation with PBEsol was carried out for crystalline Cu2As2O7 at its relaxed geometry.

POSCAR file:
```
Cu2As2O7
1.0
3.6007 -4.1195 0.0000
3.6007 4.1195 0.0000
-1.7896 0.0000 4.5793
Cu As O
2 2 7
Cartesian
3.6007 2.5880 0.0000 Cu
3.6007 -2.5880 0.0000 Cu
1.0299 0.0000 2.7334 As
4.3819 0.0000 1.8459 As
0.2004 0.0000 1.2164 O
0.6806 1.4084 3.6041 O
0.6806 -1.4084 3.6041 O
2.7059 0.0000 2.2896 O
4.7312 1.4084 0.9752 O
4.7312 -1.4084 0.9752 O
5.2114 0.0000 3.3629 O
```

Values from the calculation:
Final energy   -5.937 eV per atom
Total magnetization   0.153 μB per atom
E above lowest polymorph   14.9 meV per atom
Symmetry   C2/m
Formation energy (no corrections)   -0.8800 eV/atom



Entry 4:
A plane-wave DFT calculation with PBEsol was carried out for crystalline CrTcW2 at its relaxed geometry.

POSCAR file:
```
CrTcW2
1.0
3.0588 0.0000 0.0000
0.0000 4.3162 0.0000
0.0000 0.0000 8.6351
Cr Tc W
2 2 4
Cartesian
0.0000 0.0000 0.0000 Cr
1.5294 2.1581 4.3175 Cr
0.0000 2.1581 6.5118 Tc
1.5294 0.0000 2.1943 Tc
0.0000 0.0000 4.3816 W
0.0000 2.1581 2.2411 W
1.5294 0.0000 6.5586 W
1.5294 2.1581 0.0641 W
```

Values from the calculation:
Final energy   -12.204 eV per atom
Total magnetization   0.000 μB per atom
E above lowest polymorph   19.2 meV per atom
Symmetry   Imm2
Calculated formation energy   0.08 eV/atom



Entry 5:
A plane-wave DFT calculation with PBEsol was carried out for crystalline Mg2PbW at its relaxed geometry.

POSCAR file:
```
Mg2PbW
1.0
3.3700 0.0000 0.0000
0.0000 4.6214 0.0000
0.0000 0.0000 9.9865
Mg Pb W
4 2 2
Cartesian
0.0000 0.0000 2.3680 Mg
0.0000 0.0000 7.6185 Mg
1.6850 2.3107 2.6253 Mg
1.6850 2.3107 7.3613 Mg
0.0000 2.3107 0.0000 Pb
1.6850 0.0000 4.9933 Pb
0.0000 2.3107 4.9933 W
1.6850 0.0000 0.0000 W
```

Values from the calculation:
Final energy   -4.751 eV per atom
Total magnetization   0.000 μB per atom
Symmetry   Immm
Calculated formation energy   0.56 eV/atom



Entry 6:
A plane-wave DFT calculation with PBEsol was carried out for crystalline MoOs2W at its relaxed geometry.

POSCAR file:
```
MoOs2W
1.0
2.7677 0.0000 0.0000
0.0000 2.7677 0.0000
0.0000 0.0000 7.7064
Mo Os W
1 2 1
Cartesian
0.0000 0.0000 0.0000 Mo
1.3838 1.3838 1.9201 Os
1.3838 1.3838 5.7863 Os
0.0000 0.0000 3.8532 W
```

Values from the calculation:
Final energy   -12.433 eV per atom
Total magnetization   0.000 μB per atom
Symmetry   P4/mmm
Calculated formation energy   0.07 eV/atom



Entry 7:
A plane-wave DFT calculation with PBEsol was carried out for crystalline Sc2TlZn at its relaxed geometry.

POSCAR file:
```
Sc2TlZn
1.0
4.3841 0.0000 0.0000
0.0000 3.4124 0.0000
0.0000 0.0000 11.0910
Sc Tl Zn
4 2 2
Cartesian
0.0000 0.0000 0.0000 Sc
0.0000 1.7062 5.5455 Sc
2.1921 0.0000 3.6017 Sc
2.1921 1.7062 9.1472 Sc
0.0000 0.0000 8.1077 Tl
0.0000 1.7062 2.5621 Tl
2.1921 0.0000 6.3899 Zn
2.1921 1.7062 0.8443 Zn
```

Values from the calculation:
Final energy   -4.657 eV per atom
Total magnetization   0.001 μB per atom
Symmetry   Amm2
Calculated formation energy   -0.30 eV/atom



Entry 8:
A plane-wave DFT calculation with PBEsol was carried out for crystalline Br3Cl at its relaxed geometry.

POSCAR file:
```
Br3Cl
1.0
3.6210 0.0000 0.0000
0.0000 3.6210 0.0000
0.0000 0.0000 6.9653
Br Cl
3 1
Cartesian
0.0000 0.0000 0.0000 Br
1.8105 1.8105 1.7288 Br
1.8105 1.8105 5.2365 Br
0.0000 0.0000 3.4827 Cl
```

Values from the calculation:
Final energy   -1.315 eV per atom
Total magnetization   0.000 μB per atom
Symmetry   P4/mmm
Formation energy (no corrections)   0.5897 eV/atom



| no. | V (Å³ per cell) |
| --- | --- |
| 1 | 370 |
| 2 | 81 |
| 3 | 136 |
| 4 | 114 |
| 5 | 156 |
| 6 | 59 |
| 7 | 166 |
| 8 | 91 |